# 1
Density functional theory data (PBE-GGA) for crystalline AgTe4Pb2 at its relaxed geometry.

Geometry as POSCAR:
```
AgTe4Pb2
1.0
5.5454 0.0000 0.0000
0.0000 5.5454 0.0000
0.0000 0.0000 15.6090
Ag Te Pb
2 8 4
direct
0.0000 0.0000 0.0000 Ag
0.5000 0.5000 0.5000 Ag
0.0000 0.0000 0.1822 Te
0.0000 0.0000 0.8178 Te
0.0000 0.5000 0.0000 Te
0.0000 0.5000 0.5000 Te
0.5000 0.0000 0.0000 Te
0.5000 0.0000 0.5000 Te
0.5000 0.5000 0.3178 Te
0.5000 0.5000 0.6822 Te
0.0000 0.0000 0.3776 Pb
0.0000 0.0000 0.6224 Pb
0.5000 0.5000 0.1224 Pb
0.5000 0.5000 0.8776 Pb
```

Properties
- calculated total energy (eV for the cell shown) = -44.4

# 2
Density functional theory data (PBE-GGA) for crystalline AgTePb3 at its relaxed geometry.

Geometry as POSCAR:
```
AgTePb3
1.0
5.5337 0.0000 0.0000
0.0000 5.5337 0.0000
0.0000 0.0000 5.5337
Ag Te Pb
1 1 3
direct
0.0000 0.0000 0.0000 Ag
0.5000 0.5000 0.5000 Te
0.0000 0.0000 0.5000 Pb
0.0000 0.5000 0.0000 Pb
0.5000 0.0000 0.0000 Pb
```

Properties
- offset from the most stable computed form (meV/atom) = 0

# 3
Density functional theory data (PBE-GGA) for crystalline AgTe2Pb at its relaxed geometry.

Geometry as POSCAR:
```
AgTe2Pb
1.0
6.7175 0.0000 0.0000
0.0000 6.7175 0.0000
0.0000 0.0000 13.6732
Ag Te Pb
4 8 4
direct
0.0000 0.0000 0.0000 Ag
0.0000 0.5000 0.2500 Ag
0.5000 0.0000 0.7500 Ag
0.5000 0.5000 0.5000 Ag
0.2163 0.2500 0.1250 Te
0.2500 0.7163 0.3750 Te
0.2500 0.7837 0.8750 Te
0.2837 0.2500 0.6250 Te
0.7163 0.7500 0.6250 Te
0.7500 0.2163 0.8750 Te
0.7500 0.2837 0.3750 Te
0.7837 0.7500 0.1250 Te
0.0000 0.0000 0.5000 Pb
0.0000 0.5000 0.7500 Pb
0.5000 0.0000 0.2500 Pb
0.5000 0.5000 0.0000 Pb
```

Properties
- calculated total energy (eV for the cell shown) = -52.9